# 1
{
  "formula": "Tl2ZnHgBr6",
  "functional": "PBE",
  "state": "optimized geometry",
  "raw_formation_energy_ev_per_atom": -0.718,
  "e_tot_ev_per_cell": -23.53,
  "dos_ef_per_ev_cell": 0.000,
  "lattice_angstrom": [[7.816, 0.000, 0.000], [-3.907, 6.772, 0.000], [-3.907, -2.258, 7.958]],
  "species": ["Tl", "Tl", "Zn", "Hg", "Br", "Br", "Br", "Br", "Br", "Br"],
  "fractional_positions": [[0.000, 0.000, 0.000], [0.009, 0.504, 0.514], [0.486, 0.243, 0.729], [0.492, 0.746, 0.237], [0.142, 0.429, 0.229], [0.166, 0.207, 0.723], [0.516, 0.088, 0.228], [0.516, 0.958, 0.722], [0.765, 0.557, 0.724], [0.802, 0.714, 0.229]]
}

***

# 2
{
  "formula": "TlZnHgBr2",
  "functional": "PBE",
  "state": "optimized geometry",
  "raw_formation_energy_ev_per_atom": -0.395,
  "e_tot_ev_per_cell": -9.26,
  "dos_ef_per_ev_cell": 1.783,
  "lattice_angstrom": [[5.609, 0.000, 0.000], [0.000, 5.609, 0.000], [0.000, 0.000, 5.181]],
  "species": ["Tl", "Zn", "Hg", "Br", "Br"],
  "fractional_positions": [[0.000, 0.000, 0.000], [0.500, 0.500, 0.500], [0.500, 0.500, 0.000], [0.000, 0.500, 0.500], [0.500, 0.000, 0.500]]
}

***

# 3
{
  "formula": "ZrTl2Hg2Br6",
  "functional": "PBE",
  "state": "optimized geometry",
  "raw_formation_energy_ev_per_atom": -0.940,
  "e_tot_ev_per_cell": -34.26,
  "dos_ef_per_ev_cell": 0.000,
  "lattice_angstrom": [[3.953, -7.024, 0.000], [3.953, 7.024, 0.000], [-3.196, 0.000, 8.974]],
  "species": ["Zr", "Tl", "Tl", "Hg", "Hg", "Br", "Br", "Br", "Br", "Br", "Br"],
  "fractional_positions": [[0.000, 0.000, 0.000], [0.332, 0.668, 0.000], [0.668, 0.332, 0.000], [0.198, 0.802, 0.500], [0.802, 0.198, 0.500], [0.071, 0.338, 0.174], [0.207, 0.207, 0.829], [0.338, 0.071, 0.174], [0.662, 0.929, 0.826], [0.793, 0.793, 0.171], [0.929, 0.662, 0.826]]
}

***

# 4
{
  "formula": "ZrTl2HgBr",
  "functional": "PBE",
  "state": "optimized geometry",
  "raw_formation_energy_ev_per_atom": 0.476,
  "e_tot_ev_per_cell": -12.88,
  "dos_ef_per_ev_cell": 5.174,
  "lattice_angstrom": [[5.989, 0.000, 0.000], [0.000, 5.989, 0.000], [0.000, 0.000, 5.079]],
  "species": ["Zr", "Tl", "Tl", "Hg", "Br"],
  "fractional_positions": [[0.000, 0.000, 0.000], [0.000, 0.500, 0.500], [0.500, 0.000, 0.500], [0.500, 0.500, 0.000], [0.000, 0.000, 0.500]]
}